AsP2Se | PBE | relaxed

DFT total energy	-4.061	eV/atom
uncorrected formation energy	0.678	eV/atom
energy above the most stable polymorph in this dataset	0.510	eV/atom
SG	Pmmm, No. 47

```
AsP2Se
1.0
3.1821 0.0000 0.0000
0.0000 4.6980 0.0000
0.0000 0.0000 4.6210
P As Se
2 1 1
direct
0.5000 0.5000 0.0000
0.0000 0.0000 0.0000
0.0000 0.5000 0.5000
0.5000 0.0000 0.5000
```

=====

AsP4Se | PBE | relaxed

DFT total energy	-4.233	eV/atom
uncorrected formation energy	0.729	eV/atom
SG	F-43m, No. 216

```
AsP4Se
1.0
0.4852 -1.0847 5.3841
-3.5374 -3.4496 2.4470
1.7047 -4.9712 1.6681
P As Se
4 1 1
direct
0.3980 0.3980 0.3980
0.8061 0.3980 0.3980
0.3980 0.8061 0.3980
0.3980 0.3980 0.8061
0.0000 0.0000 0.0000
0.7500 0.7500 0.7500
```

=====

AsPSe2 | PBE | relaxed

DFT total energy	-3.839	eV/atom
uncorrected formation energy	0.418	eV/atom
energy above the most stable polymorph in this dataset	0.288	eV/atom
SG	Cmmm, No. 65

```
AsPSe2
1.0
-1.2898 1.5792 -3.7392
-2.1561 -0.4762 3.6419
2.0591 6.6165 2.0841
Se P As
2 1 1
direct
0.0000 0.0000 0.5113
0.0000 0.0000 0.9887
0.5000 0.5000 0.7500
0.5000 0.5000 0.2500
```

=====

Number 1: density 5188 kg/m3. Number 2: density 3892 kg/m3. Number 3: density 4339 kg/m3.